Record 1
NpCrTc2P2 | Alexandria via LeMat-Bulk | PBE-GGA | optimized geometry; ΔE_f = -422 meV per atom; SG = Pmc2_1, No. 26
1.0
-0.619 2.252 -3.216
-5.622 0.507 1.438
1.611 6.279 4.087
Np Cr Tc P
2 2 4 4
Direct
0.000 0.942 0.432
0.000 0.442 0.568
0.500 0.163 0.706
0.500 0.663 0.294
0.500 0.037 0.063
0.000 0.380 0.188
0.500 0.537 0.937
0.000 0.880 0.812
0.000 0.270 0.898
0.500 0.254 0.338
0.000 0.770 0.102
0.500 0.754 0.662

***

Record 2
NpPa2Cr | Alexandria via LeMat-Bulk | PBE-GGA | optimized geometry; ΔE_f = 541 meV per atom; SG = R-3m, No. 166
1.0
2.983 0.000 0.000
1.491 2.583 0.000
1.491 0.861 10.511
Np Cr Pa
1 1 2
Direct
0.000 0.000 0.000
0.500 0.500 0.500
0.091 0.091 0.726
0.909 0.909 0.274

***

Record 3
NpCr4PbS8 | Alexandria via LeMat-Bulk | PBE-GGA | optimized geometry; SG = R3m, No. 160; formation energy from raw total energies = -8.3 eV/f.u.
1.0
6.813 0.000 0.000
3.406 5.900 0.000
3.406 1.967 6.611
Np Cr Pb S
1 4 1 8
Direct
0.009 0.009 0.974
0.632 0.632 0.103
0.973 0.551 0.503
0.551 0.973 0.503
0.973 0.973 0.503
0.351 0.351 0.947
0.267 0.786 0.681
0.786 0.267 0.681
0.267 0.267 0.681
0.211 0.211 0.366
0.750 0.228 0.272
0.228 0.750 0.272
0.750 0.750 0.272
0.753 0.753 0.742

***

Record 4
NpCrPd | Alexandria via LeMat-Bulk | PBE-GGA | optimized geometry; ΔE_f = 402 meV per atom; SG = R-3m, No. 166
1.0
4.396 0.000 0.000
2.198 3.807 0.000
2.198 1.269 7.214
Cr Pd Np
2 2 2
Direct
0.322 0.322 0.035
0.678 0.678 0.965
0.189 0.189 0.433
0.811 0.811 0.567
0.417 0.417 0.749
0.583 0.583 0.251

***

Record 5
NpCrPd6 | Alexandria via LeMat-Bulk | PBE-GGA | optimized geometry; ΔE_f = -262 meV per atom; SG = P4/mmm, No. 123
1.0
4.045 0.000 0.000
0.000 5.699 -0.037
0.000 0.036 5.699
Np Cr Pd
1 1 6
Direct
0.500 0.000 0.000
0.500 0.500 0.500
0.000 0.747 0.253
0.000 0.253 0.747
0.000 0.746 0.746
0.000 0.254 0.254
0.500 0.500 0.000
0.500 0.000 0.500

***

Record 6
NpCrPd14 | Alexandria via LeMat-Bulk | PBE-GGA | optimized geometry; ΔE_f = -147 meV per atom; SG = P4/mmm, No. 123
1.0
5.700 -0.012 0.000
0.012 5.700 0.000
0.000 0.000 7.797
Np Cr Pd
1 1 14
Direct
0.875 0.875 0.500
0.375 0.375 0.500
0.875 0.875 0.000
0.375 0.375 0.000
0.875 0.375 0.500
0.875 0.375 0.000
0.375 0.875 0.500
0.375 0.875 0.000
0.623 0.127 0.252
0.623 0.127 0.748
0.127 0.623 0.252
0.127 0.623 0.748
0.623 0.623 0.252
0.623 0.623 0.748
0.127 0.127 0.252
0.127 0.127 0.748

***

Number 1: D(E_F) 14.64 states/eV/cell, E -9.442 eV per atom. Number 2: D(E_F) 8.42 states/eV/cell, E -9.848 eV per atom. Number 3: D(E_F) 11.66 states/eV/cell, E -6.889 eV per atom. Number 4: D(E_F) 15.26 states/eV/cell, E -8.851 eV per atom. Number 5: D(E_F) 17.56 states/eV/cell, E -6.977 eV per atom. Number 6: D(E_F) 32.48 states/eV/cell, E -6.101 eV per atom.